A geometry-optimized CdPb3 structure, computed with PBEsol.

Lattice parameters (Å, degrees): 6.7875 6.7875 11.1543 90.00 90.00 120.00
Positions (direct):
Cd: 0.0000 0.0000 0.0000
Cd: 0.0000 0.0000 0.5000
Cd: 0.3333 0.6667 0.2500
Cd: 0.6667 0.3333 0.7500
Pb: 0.0000 0.5000 0.0000
Pb: 0.0000 0.5000 0.5000
Pb: 0.1638 0.3275 0.7500
Pb: 0.1638 0.8362 0.7500
Pb: 0.3275 0.1638 0.2500
Pb: 0.5000 0.0000 0.0000
Pb: 0.5000 0.0000 0.5000
Pb: 0.5000 0.5000 0.0000
Pb: 0.5000 0.5000 0.5000
Pb: 0.6725 0.8362 0.7500
Pb: 0.8362 0.1638 0.2500
Pb: 0.8362 0.6725 0.2500


A geometry-optimized Cd2Pb structure, computed with PBEsol.

Lattice parameters (Å, degrees): 6.4593 4.6401 9.7075 90.00 90.00 90.00
Positions (direct):
Cd: 0.1085 0.2500 0.2393
Cd: 0.1215 0.2500 0.9214
Cd: 0.3785 0.7500 0.4214
Cd: 0.3915 0.7500 0.7393
Cd: 0.6085 0.2500 0.2607
Cd: 0.6215 0.2500 0.5786
Cd: 0.8785 0.7500 0.0786
Cd: 0.8915 0.7500 0.7607
Pb: 0.1241 0.2500 0.5941
Pb: 0.3759 0.7500 0.0941
Pb: 0.6241 0.2500 0.9059
Pb: 0.8759 0.7500 0.4059


A geometry-optimized Cd3Pb structure, computed with PBEsol.

Lattice parameters (Å, degrees): 5.7797 5.7797 5.7797 90.00 90.00 90.00
Positions (direct):
Cd: 0.0000 0.2500 0.5000
Cd: 0.0000 0.7500 0.5000
Cd: 0.2500 0.5000 0.0000
Cd: 0.5000 0.0000 0.2500
Cd: 0.5000 0.0000 0.7500
Cd: 0.7500 0.5000 0.0000
Pb: 0.0000 0.0000 0.0000
Pb: 0.5000 0.5000 0.5000


A geometry-optimized CdPb structure, computed with PBEsol.

Lattice parameters (Å, degrees): 3.6571 3.6571 7.6906 90.00 90.00 90.00
Positions (direct):
Cd: 0.2500 0.2500 0.1001
Cd: 0.7500 0.7500 0.8999
Pb: 0.2500 0.2500 0.6552
Pb: 0.7500 0.7500 0.3448


A geometry-optimized CdPb3 structure, computed with PBEsol.

Lattice parameters (Å, degrees): 6.9390 6.9390 4.6321 90.00 90.00 92.65
Positions (direct):
Cd: 0.1238 0.8762 0.7500
Cd: 0.8762 0.1238 0.2500
Pb: 0.1118 0.3587 0.7500
Pb: 0.3587 0.1118 0.2500
Pb: 0.3685 0.6315 0.2500
Pb: 0.6315 0.3685 0.7500
Pb: 0.6413 0.8882 0.7500
Pb: 0.8882 0.6413 0.2500


A geometry-optimized CdPb3 structure, computed with PBEsol.

Lattice parameters (Å, degrees): 6.0193 6.0193 6.0193 133.90 133.90 67.25
Positions (direct):
Cd: 0.0000 0.0000 0.0000
Pb: 0.2500 0.7500 0.5000
Pb: 0.5000 0.5000 0.0000
Pb: 0.7500 0.2500 0.5000


| no. | formation energy from the elements (eV/atom) |
| --- | --- |
| 1 | 0.051 |
| 2 | 0.064 |
| 3 | 0.095 |
| 4 | 0.051 |
| 5 | 0.032 |
| 6 | 0.049 |